VASP calculation (PBE with a Hubbard U) on a geometry-optimized MnRhNO2 structure.

Results
- V (Å³ per cell) = 50.2
- crystal system = tetragonal
- VASP energy (eV/atom) = -5.888
- space group = P4/mmm

Cell lengths 3.576, 3.576, 3.929 Å; angles 90.00, 90.00, 90.00 degrees
Fractional coordinates of all 5 atoms:
Mn  0.000  0.000  0.000
Rh  0.500  0.500  0.500
N  0.000  0.000  0.500
O  0.000  0.500  0.000
O  0.500  0.000  0.000